A relaxed LiHoPd6 crystal, computed with PBE.

Results
total moment = 0.00 μB per formula unit
distance to the lowest polymorph of the same formula = 0.197 eV/atom
formation enthalpy at 0 K = -0.359 eV per atom
space-group type = R-3m, No. 166

The structure in POSCAR format:
```
LiHoPd6
1.0
4.521 2.610 1.851
-4.521 2.610 1.851
0.000 -5.221 1.851
Li Ho Pd
1 1 6
direct
0.000 0.000 0.000 Li
0.500 0.500 0.500 Ho
0.229 0.750 0.750 Pd
0.250 0.250 0.771 Pd
0.250 0.771 0.250 Pd
0.750 0.229 0.750 Pd
0.750 0.750 0.229 Pd
0.771 0.250 0.250 Pd
```